[1]
La3PrSb3 | PBE-GGA | relaxed

The structure in POSCAR format:
```
La3PrSb3
1.0
9.678 0.000 0.000
0.000 9.678 0.000
0.000 0.000 9.678
La Pr Sb
12 4 12
Direct
0.070 0.430 0.570
0.179 0.179 0.179
0.179 0.821 0.321
0.321 0.179 0.821
0.321 0.821 0.679
0.430 0.570 0.070
0.570 0.070 0.430
0.679 0.321 0.821
0.679 0.679 0.679
0.821 0.321 0.179
0.821 0.679 0.321
0.930 0.930 0.930
0.070 0.570 0.930
0.430 0.430 0.430
0.570 0.930 0.070
0.930 0.070 0.570
0.000 0.251 0.873
0.000 0.751 0.627
0.127 0.500 0.249
0.249 0.127 0.500
0.251 0.873 0.000
0.373 0.500 0.749
0.500 0.249 0.127
0.500 0.749 0.373
0.627 0.000 0.751
0.749 0.373 0.500
0.751 0.627 0.000
0.873 0.000 0.251
```

Computed properties:
* formation energy (no corrections): -1.12 eV per atom
* raw total energy: -0.4177 Ry per atom
* calculated volume: 906.4 Å³ per cell
* SG: P2_13 (198)
* size of the total moment: 0.00 μB per cell

=====

[2]
LaPrSb | PBE-GGA | relaxed

The structure in POSCAR format:
```
LaPrSb
1.0
4.620 0.000 0.000
0.000 4.620 0.000
0.000 0.000 9.083
La Pr Sb
2 2 2
Direct
0.250 0.750 0.000
0.750 0.250 0.000
0.250 0.250 0.361
0.750 0.750 0.639
0.250 0.250 0.719
0.750 0.750 0.281
```

Computed properties:
* formation energy (no corrections): -0.84 eV per atom
* raw total energy: -0.4008 Ry per atom
* calculated volume: 193.9 Å³ per cell
* SG: P4/nmm (129)
* size of the total moment: 0.00 μB per cell

=====

[3]
La3PrSb3 | PBE-GGA | relaxed

The structure in POSCAR format:
```
La3PrSb3
1.0
4.751 2.743 6.447
-4.751 2.743 6.447
0.000 -5.486 6.447
La Pr Sb
6 2 6
Direct
0.095 0.814 0.355
0.186 0.645 0.905
0.355 0.095 0.814
0.645 0.905 0.186
0.814 0.355 0.095
0.905 0.186 0.645
0.333 0.333 0.333
0.667 0.667 0.667
0.072 0.461 0.701
0.299 0.928 0.539
0.461 0.701 0.072
0.539 0.299 0.928
0.701 0.072 0.461
0.928 0.539 0.299
```

Computed properties:
* formation energy (no corrections): -1.01 eV per atom
* raw total energy: -0.4093 Ry per atom
* calculated volume: 504.0 Å³ per cell
* SG: R-3 (148)
* size of the total moment: 0.00 μB per cell

=====

[4]
La3PrSb2 | PBE-GGA | relaxed

The structure in POSCAR format:
```
La3PrSb2
1.0
4.679 0.000 0.000
0.000 4.679 0.000
0.000 0.000 9.069
La Pr Sb
3 1 2
Direct
0.000 0.000 0.000
0.000 0.500 0.643
0.500 0.000 0.357
0.500 0.500 0.000
0.000 0.500 0.277
0.500 0.000 0.723
```

Computed properties:
* formation energy (no corrections): -0.86 eV per atom
* raw total energy: -0.4038 Ry per atom
* calculated volume: 198.5 Å³ per cell
* SG: P-4m2 (115)
* size of the total moment: 0.00 μB per cell

=====

[5]
LaPrSb2 | PBE-GGA | relaxed

The structure in POSCAR format:
```
LaPrSb2
1.0
7.852 0.000 0.000
0.000 7.969 0.000
0.000 0.000 4.543
La Pr Sb
2 2 4
Direct
0.000 0.000 0.000
0.500 0.500 0.500
0.000 0.500 0.000
0.500 0.000 0.500
0.166 0.252 0.500
0.334 0.752 0.000
0.666 0.248 0.000
0.834 0.748 0.500
```

Computed properties:
* formation energy (no corrections): -1.09 eV per atom
* raw total energy: -0.4100 Ry per atom
* calculated volume: 284.2 Å³ per cell
* SG: Pnnm (58)
* size of the total moment: 0.00 μB per cell

=====

[6]
LaPr5Sb4 | PBE-GGA | relaxed

The structure in POSCAR format:
```
LaPr5Sb4
1.0
9.765 -2.242 0.000
9.765 2.242 0.000
-2.364 0.000 8.585
La Pr Sb
1 5 4
Direct
0.000 0.000 0.000
0.000 0.000 0.500
0.326 0.326 0.656
0.337 0.337 0.167
0.663 0.663 0.833
0.674 0.674 0.344
0.171 0.171 0.091
0.493 0.493 0.742
0.507 0.507 0.258
0.829 0.829 0.909
```

Computed properties:
* formation energy (no corrections): -0.81 eV per atom
* raw total energy: -0.3928 Ry per atom
* calculated volume: 376.0 Å³ per cell
* SG: C2/m (12)
* size of the total moment: 0.00 μB per cell

=====

[7]
LaPrSb2 | PBE-GGA | relaxed

The structure in POSCAR format:
```
LaPrSb2
1.0
2.266 1.308 7.843
-2.266 1.308 7.843
0.000 -2.617 7.843
La Pr Sb
1 1 2
Direct
0.000 0.000 0.000
0.829 0.829 0.829
0.246 0.246 0.246
0.416 0.416 0.416
```

Computed properties:
* formation energy (no corrections): -1.12 eV per atom
* raw total energy: -0.4122 Ry per atom
* calculated volume: 139.5 Å³ per cell
* SG: R3m (160)
* size of the total moment: 0.00 μB per cell

=====

[8]
La5Pr3Sb8 | PBE-GGA | relaxed

The structure in POSCAR format:
```
La5Pr3Sb8
1.0
4.602 2.657 7.514
-4.602 2.657 7.514
0.000 -5.313 7.514
La Pr Sb
5 3 8
Direct
0.000 0.000 0.000
0.000 0.500 0.500
0.500 0.000 0.500
0.500 0.500 0.000
0.500 0.500 0.500
0.000 0.000 0.500
0.000 0.500 0.000
0.500 0.000 0.000
0.248 0.750 0.750
0.249 0.249 0.249
0.250 0.250 0.752
0.250 0.752 0.250
0.750 0.248 0.750
0.750 0.750 0.248
0.751 0.751 0.751
0.752 0.250 0.250
```

Computed properties:
* formation energy (no corrections): -1.25 eV per atom
* raw total energy: -0.4221 Ry per atom
* calculated volume: 551.1 Å³ per cell
* SG: R-3m (166)
* size of the total moment: 0.00 μB per cell

=====

[9]
LaPr5Sb6 | PBE-GGA | relaxed

The structure in POSCAR format:
```
LaPr5Sb6
1.0
3.958 -6.856 0.000
3.958 6.856 0.000
-2.641 0.000 7.464
La Pr Sb
1 5 6
Direct
0.000 0.000 0.000
0.166 0.834 0.500
0.333 0.667 0.000
0.500 0.500 0.500
0.667 0.333 0.000
0.834 0.166 0.500
0.084 0.418 0.251
0.251 0.251 0.750
0.418 0.084 0.251
0.582 0.916 0.749
0.749 0.749 0.250
0.916 0.582 0.749
```

Computed properties:
* formation energy (no corrections): -1.21 eV per atom
* raw total energy: -0.4168 Ry per atom
* calculated volume: 405.1 Å³ per cell
* SG: C2/m (12)
* size of the total moment: 0.00 μB per cell

=====

[10]
LaPrSb | PBE-GGA | relaxed

The structure in POSCAR format:
```
LaPrSb
1.0
0.000 3.763 3.763
3.763 0.000 3.763
3.763 3.763 0.000
La Pr Sb
1 1 1
Direct
0.000 0.000 0.000
0.500 0.500 0.500
0.250 0.250 0.250
```

Computed properties:
* formation energy (no corrections): -0.70 eV per atom
* raw total energy: -0.3900 Ry per atom
* calculated volume: 106.6 Å³ per cell
* SG: F-43m (216)
* size of the total moment: 0.00 μB per cell